# LiPmEr2Se4 (PBE, relaxed)
data_LiPmEr2Se4
_space_group_name_H-M_alt 'P 1 2/m 1'
_space_group_IT_number 10
_space_group_name_Hall '-P 2y'
_cell_length_a 7.061
_cell_length_b 4.050
_cell_length_c 7.067
_cell_angle_alpha 90.00
_cell_angle_beta 109.17
_cell_angle_gamma 90.00
loop_
_atom_site_label
_atom_site_fract_x
_atom_site_fract_y
_atom_site_fract_z
_atom_site_occupancy
Li1 0.000 0.000 0.000 1
Pm1 0.500 0.500 0.000 1
Er1 0.000 0.500 0.500 1
Er2 0.500 0.000 0.500 1
Se1 0.238 0.000 0.744 1
Se2 0.243 0.500 0.252 1
# Energy relative to the elements, uncorrected in eV per atom: -1.734

=====

# Cr7Ga2C2 (PBE, relaxed)
data_Cr7Ga2C2
_space_group_name_H-M_alt 'C m m m'
_space_group_IT_number 65
_space_group_name_Hall '-C 2 2'
_cell_length_a 6.005
_cell_length_b 8.447
_cell_length_c 5.191
_cell_angle_alpha 90.00
_cell_angle_beta 90.00
_cell_angle_gamma 90.00
loop_
_atom_site_label
_atom_site_fract_x
_atom_site_fract_y
_atom_site_fract_z
_atom_site_occupancy
Cr1 0.000 0.000 0.000 1
Cr2 0.000 0.500 0.184 1
Cr3 0.250 0.250 0.251 1
Ga1 0.197 0.000 0.500 1
C1 0.000 0.268 0.000 1
# Calculated formation energy in meV per atom: 239

=====

# Ca3ScIn12 (PBE, relaxed)
data_Ca3ScIn12
_space_group_name_H-M_alt 'P 4/m m m'
_space_group_IT_number 123
_space_group_name_Hall '-P 4 2'
_cell_length_a 4.692
_cell_length_b 4.692
_cell_length_c 18.528
_cell_angle_alpha 90.00
_cell_angle_beta 90.00
_cell_angle_gamma 90.00
loop_
_atom_site_label
_atom_site_fract_x
_atom_site_fract_y
_atom_site_fract_z
_atom_site_occupancy
Ca1 0.000 0.000 0.000 1
Ca2 0.000 0.000 0.255 1
Sc1 0.000 0.000 0.500 1
In1 0.000 0.500 0.127 1
In2 0.000 0.500 0.382 1
In3 0.500 0.500 0.000 1
In4 0.500 0.500 0.253 1
In5 0.500 0.500 0.500 1
# Calculated formation energy in meV per atom: -312

=====

# Ac2Pm3Pr7 (PBE, relaxed)
data_Ac2Pm3Pr7
_space_group_name_H-M_alt 'P 1 2/m 1'
_space_group_IT_number 10
_space_group_name_Hall '-P 2y'
_cell_length_a 6.079
_cell_length_b 3.736
_cell_length_c 19.948
_cell_angle_alpha 90.00
_cell_angle_beta 93.28
_cell_angle_gamma 90.00
loop_
_atom_site_label
_atom_site_fract_x
_atom_site_fract_y
_atom_site_fract_z
_atom_site_occupancy
Ac1 0.199 0.000 0.295 1
Pm1 0.000 0.000 0.000 1
Pm2 0.287 0.500 0.628 1
Pr1 0.173 0.500 0.140 1
Pr2 0.242 0.000 0.466 1
Pr3 0.325 0.000 0.828 1
Pr4 0.500 0.500 0.000 1
# Calculated formation energy in meV per atom: 95
# Offset from the most stable computed form in meV per atom: 17